(1)
Mg4Zn4Ir: optimized geometry, PBE.

ΔH_f (0 K)	-0.13	eV/atom
uncorrected energy	-2.39	eV/atom
symmetry	Cm (8)

Cell lengths 5.5916, 5.5916, 5.4829 Å; angles 98.52, 98.52, 99.56 degrees
Closest atoms and distances in Å follow each position.
Sites, in units of the cell vectors:
Mg  0.0000  0.0000  0.0000  6 Zn 2.63-2.81, 1 Ir 2.65
Mg  0.2317  0.8294  0.4974  4 Zn 2.82-3.09, 2 Ir 2.97-3.03
Mg  0.6489  0.6489  0.2105  1 Ir 2.57, 4 Zn 2.67-2.81
Mg  0.8294  0.2317  0.4974  4 Zn 2.82-3.09, 2 Ir 2.97-3.03
Zn  0.0354  0.5123  0.0359  1 Zn 2.51, 1 Ir 2.60, 2 Mg 2.67-2.80
Zn  0.3204  0.3204  0.7903  1 Ir 2.49, 3 Zn 2.51-2.60
Zn  0.5123  0.0354  0.0359  1 Zn 2.51, 1 Ir 2.60, 2 Mg 2.67-2.80
Zn  0.6589  0.6589  0.7017  3 Zn 2.60-2.89, 5 Mg 2.63-2.85, 1 Ir 2.74
Ir  0.3276  0.3276  0.3378  4 Zn 2.49-2.74, 2 Mg 2.57-2.65


(2)
AlAsCl: optimized geometry, PBE.

formation energy without anion corrections	-701	meV per atom
uncorrected energy	-4.11	eV/atom
symmetry	P-1 (2)

Cell lengths 4.4153, 6.2484, 6.5200 Å; angles 80.98, 86.42, 89.97 degrees
Closest atoms and distances in Å follow each position.
Sites, in units of the cell vectors:
Al  0.0000  0.2318  0.0000  2 Cl 2.33, 2 As 2.47
Al  0.0000  0.7682  0.0000  2 Cl 2.33, 2 As 2.47
As  0.3534  0.9706  0.1791  2 Al 2.47, 1 As 2.57
As  0.6466  0.0294  0.8209  2 Al 2.47, 1 As 2.57
Cl  0.2162  0.5346  0.7876  2 Al 2.33
Cl  0.7838  0.4654  0.2124  2 Al 2.33